# Ga2Pb4Au5 PBE relaxed
# Calculated total energy: -3.45 eV per atom
# ΔH_f (0 K): -6 kJ per mole of atoms
# DOS(E_F): 0.393 states/eV/atom
data_Ga2Pb4Au5
_chemical_formula_sum 'Ga8 Pb16 Au20'
_cell_length_a 9.3042
_cell_length_b 18.8913
_cell_length_c 5.7393
_cell_angle_alpha 90.00
_cell_angle_beta 90.00
_cell_angle_gamma 90.00
_space_group_name_H-M_alt 'I b a m'
_space_group_IT_number 72
_space_group_name_Hall '-I 2 2c'
loop_
_atom_site_label
_atom_site_fract_x
_atom_site_fract_y
_atom_site_fract_z
_atom_site_occupancy
Ga1 0.0000 0.2011 0.2500 1
Pb1 0.1085 0.3586 0.0000 1
Pb2 0.2303 0.0602 0.0000 1
Au1 0.0000 0.5000 0.2500 1
Au2 0.0876 0.0845 0.5000 1
Au3 0.2064 0.2771 0.5000 1